# 1
Density functional theory data (PBE) for HoHfGaNi after structural relaxation.

Structure (CIF):
```
data_HoHfGaNi
_cell_length_a 6.731
_cell_length_b 6.731
_cell_length_c 6.731
_cell_angle_alpha 90.00
_cell_angle_beta 90.00
_cell_angle_gamma 90.00
_space_group_name_H-M_alt 'F -4 3 m'
_space_group_IT_number 216
_space_group_name_Hall 'F -4 2 3'
loop_
_atom_site_label
_atom_site_type_symbol
_atom_site_fract_x
_atom_site_fract_y
_atom_site_fract_z
Ho1 Ho 0.000 0.000 0.000
Hf1 Hf 0.000 0.000 0.500
Ga1 Ga 0.250 0.250 0.750
Ni1 Ni 0.250 0.250 0.250
```

Properties
formation energy from the elements: -0.329 eV per atom

=====

# 2
Density functional theory data (PBE) for Cd2PbBr after structural relaxation.

Structure (CIF):
```
data_Cd2PbBr
_cell_length_a 3.740
_cell_length_b 6.040
_cell_length_c 5.060
_cell_angle_alpha 90.00
_cell_angle_beta 90.01
_cell_angle_gamma 90.00
_space_group_name_H-M_alt 'P 1 m 1'
_space_group_IT_number 6
_space_group_name_Hall 'P -2y'
loop_
_atom_site_label
_atom_site_type_symbol
_atom_site_fract_x
_atom_site_fract_y
_atom_site_fract_z
Cd1 Cd 0.000 0.000 0.000
Cd2 Cd 0.488 0.500 0.498
Pb1 Pb 0.990 0.500 0.998
Br1 Br 0.498 0.000 0.499
```

Properties
ΔE_f (raw): -0.138 eV per atom
ΔE to the lowest computed polymorph: 41 meV/atom

=====

# 3
Density functional theory data (PBE) for Be2Al2Mo after structural relaxation.

Structure (CIF):
```
data_Be2Al2Mo
_cell_length_a 6.643
_cell_length_b 6.643
_cell_length_c 2.820
_cell_angle_alpha 90.00
_cell_angle_beta 90.00
_cell_angle_gamma 90.00
_space_group_name_H-M_alt 'P 4/m b m'
_space_group_IT_number 127
_space_group_name_Hall '-P 4 2ab'
loop_
_atom_site_label
_atom_site_type_symbol
_atom_site_fract_x
_atom_site_fract_y
_atom_site_fract_z
Be1 Be 0.116 0.384 0.000
Al1 Al 0.177 0.677 0.500
Mo1 Mo 0.000 0.000 0.000
```

Properties
ΔE to the lowest computed polymorph: 0 meV/atom
formation energy from the elements: 0.020 eV per atom

=====

# 4
Density functional theory data (PBE) for PmGa2Co2Ge after structural relaxation.

Structure (CIF):
```
data_PmGa2Co2Ge
_cell_length_a 4.353
_cell_length_b 4.353
_cell_length_c 5.645
_cell_angle_alpha 90.00
_cell_angle_beta 90.00
_cell_angle_gamma 90.00
_space_group_name_H-M_alt 'P 4/m m m'
_space_group_IT_number 123
_space_group_name_Hall '-P 4 2'
loop_
_atom_site_label
_atom_site_type_symbol
_atom_site_fract_x
_atom_site_fract_y
_atom_site_fract_z
Pm1 Pm 0.000 0.000 0.000
Ga1 Ga 0.500 0.500 0.243
Co1 Co 0.000 0.500 0.500
Ge1 Ge 0.000 0.000 0.500
```

Properties
formation energy from the elements: -0.234 eV per atom

=====

# 5
Density functional theory data (PBE) for HfRe2BrN after structural relaxation.

Structure (CIF):
```
data_HfRe2BrN
_cell_length_a 5.043
_cell_length_b 5.043
_cell_length_c 5.324
_cell_angle_alpha 90.00
_cell_angle_beta 90.00
_cell_angle_gamma 90.00
_space_group_name_H-M_alt 'P 4/m m m'
_space_group_IT_number 123
_space_group_name_Hall '-P 4 2'
loop_
_atom_site_label
_atom_site_type_symbol
_atom_site_fract_x
_atom_site_fract_y
_atom_site_fract_z
Hf1 Hf 0.000 0.000 0.000
Re1 Re 0.000 0.500 0.000
Br1 Br 0.000 0.000 0.500
N1 N 0.500 0.500 0.500
```

Properties
ΔE_f (raw): 2.851 eV per atom

=====

# 6
Density functional theory data (PBE) for Dy5Cu4Os after structural relaxation.

Structure (CIF):
```
data_Dy5Cu4Os
_cell_length_a 3.431
_cell_length_b 3.431
_cell_length_c 17.560
_cell_angle_alpha 90.00
_cell_angle_beta 90.00
_cell_angle_gamma 90.00
_space_group_name_H-M_alt 'P 4/m m m'
_space_group_IT_number 123
_space_group_name_Hall '-P 4 2'
loop_
_atom_site_label
_atom_site_type_symbol
_atom_site_fract_x
_atom_site_fract_y
_atom_site_fract_z
Dy1 Dy 0.000 0.000 0.000
Dy2 Dy 0.000 0.000 0.201
Dy3 Dy 0.000 0.000 0.405
Cu1 Cu 0.500 0.500 0.100
Cu2 Cu 0.500 0.500 0.298
Os1 Os 0.500 0.500 0.500
```

Properties
formation energy from the elements: -0.249 eV per atom

=====

# 7
Density functional theory data (PBE) for RbBC3 after structural relaxation.

Structure (CIF):
```
data_RbBC3
_cell_length_a 3.805
_cell_length_b 3.805
_cell_length_c 3.805
_cell_angle_alpha 90.00
_cell_angle_beta 90.00
_cell_angle_gamma 90.00
_space_group_name_H-M_alt 'P m -3 m'
_space_group_IT_number 221
_space_group_name_Hall '-P 4 2 3'
loop_
_atom_site_label
_atom_site_type_symbol
_atom_site_fract_x
_atom_site_fract_y
_atom_site_fract_z
Rb1 Rb 0.000 0.000 0.000
B1 B 0.500 0.500 0.500
C1 C 0.000 0.500 0.500
```

Properties
ΔE to the lowest computed polymorph: 0 meV/atom
formation energy from the elements: 2.854 eV per atom

=====

# 8
Density functional theory data (PBE) for Zn2Sb2I after structural relaxation.

Structure (CIF):
```
data_Zn2Sb2I
_cell_length_a 4.391
_cell_length_b 4.391
_cell_length_c 13.730
_cell_angle_alpha 90.00
_cell_angle_beta 90.00
_cell_angle_gamma 90.00
_space_group_name_H-M_alt 'I 4/m m m'
_space_group_IT_number 139
_space_group_name_Hall '-I 4 2'
loop_
_atom_site_label
_atom_site_type_symbol
_atom_site_fract_x
_atom_site_fract_y
_atom_site_fract_z
Zn1 Zn 0.000 0.000 0.094
Sb1 Sb 0.000 0.500 0.250
I1 I 0.000 0.000 0.500
```

Properties
ΔE_f (raw): 0.176 eV per atom
ΔE to the lowest computed polymorph: 108 meV/atom

=====

# 9
Density functional theory data (PBE) for YAlCu after structural relaxation.

Structure (CIF):
```
data_YAlCu
_cell_length_a 7.2003
_cell_length_b 7.2003
_cell_length_c 3.8648
_cell_angle_alpha 90.00
_cell_angle_beta 90.00
_cell_angle_gamma 120.00
_space_group_name_H-M_alt 'P -6 2 m'
_space_group_IT_number 189
_space_group_name_Hall 'P -6 -2'
loop_
_atom_site_label
_atom_site_type_symbol
_atom_site_fract_x
_atom_site_fract_y
_atom_site_fract_z
Y1 Y 0.0000 0.4149 0.0000
Al1 Al 0.0000 0.7612 0.5000
Cu1 Cu 0.0000 0.0000 0.0000
Cu2 Cu 0.3333 0.6667 0.5000
```

Properties
formation energy from the elements: -0.462 eV per atom

=====

# 10
Density functional theory data (PBE) for Ba2NaN after structural relaxation.

Structure (CIF):
```
data_Ba2NaN
_cell_length_a 8.179
_cell_length_b 8.179
_cell_length_c 9.960
_cell_angle_alpha 90.00
_cell_angle_beta 90.00
_cell_angle_gamma 90.00
_space_group_name_H-M_alt 'I -4 2 d'
_space_group_IT_number 122
_space_group_name_Hall 'I -4 2bw'
loop_
_atom_site_label
_atom_site_type_symbol
_atom_site_fract_x
_atom_site_fract_y
_atom_site_fract_z
Ba1 Ba 0.127 0.750 0.125
Na1 Na 0.000 0.000 0.500
N1 N 0.000 0.000 0.000
```

Properties
ΔE_f (raw): -0.145 eV per atom

=====

# 11
Density functional theory data (PBE) for B6Pb3O11F2 after structural relaxation.

Structure (CIF):
```
data_B6Pb3O11F2
_cell_length_a 6.683
_cell_length_b 8.417
_cell_length_c 10.299
_cell_angle_alpha 90.00
_cell_angle_beta 103.32
_cell_angle_gamma 90.00
_space_group_name_H-M_alt 'P 1 21 1'
_space_group_IT_number 4
_space_group_name_Hall 'P 2yb'
loop_
_atom_site_label
_atom_site_type_symbol
_atom_site_fract_x
_atom_site_fract_y
_atom_site_fract_z
B1 B 0.001 0.000 0.453
B2 B 0.074 0.560 0.873
B3 B 0.085 0.315 0.172
B4 B 0.091 0.780 0.627
B5 B 0.293 0.065 0.212
B6 B 0.315 0.539 0.724
Pb1 Pb 0.076 0.165 0.769
Pb2 Pb 0.455 0.841 0.954
Pb3 Pb 0.463 0.337 0.462
O1 O 0.014 0.374 0.285
O2 O 0.055 0.156 0.442
O3 O 0.070 0.715 0.916
O4 O 0.111 0.979 0.174
O5 O 0.142 0.899 0.532
O6 O 0.188 0.442 0.615
O7 O 0.253 0.492 0.853
O8 O 0.284 0.229 0.213
O9 O 0.287 0.709 0.698
O10 O 0.343 0.101 0.918
O11 O 0.471 0.985 0.258
F1 F 0.127 0.454 0.098
F2 F 0.417 0.612 0.404
```

Properties
ΔE_f (raw): -2.160 eV per atom

=====

# 12
Density functional theory data (PBE) for Y2PbBr after structural relaxation.

Structure (CIF):
```
data_Y2PbBr
_cell_length_a 4.427
_cell_length_b 4.427
_cell_length_c 11.618
_cell_angle_alpha 90.00
_cell_angle_beta 90.00
_cell_angle_gamma 90.00
_space_group_name_H-M_alt 'I -4 m 2'
_space_group_IT_number 119
_space_group_name_Hall 'I -4 -2'
loop_
_atom_site_label
_atom_site_type_symbol
_atom_site_fract_x
_atom_site_fract_y
_atom_site_fract_z
Y1 Y 0.000 0.000 0.000
Y2 Y 0.000 0.500 0.250
Pb1 Pb 0.000 0.000 0.500
Br1 Br 0.000 0.500 0.750
```

Properties
ΔE_f (raw): -0.501 eV per atom
ΔE to the lowest computed polymorph: 269 meV/atom

=====

# 13
Density functional theory data (PBE) for Cu2MoSe after structural relaxation.

Structure (CIF):
```
data_Cu2MoSe
_cell_length_a 2.613
_cell_length_b 4.557
_cell_length_c 5.089
_cell_angle_alpha 90.00
_cell_angle_beta 96.16
_cell_angle_gamma 90.00
_space_group_name_H-M_alt 'P 1 m 1'
_space_group_IT_number 6
_space_group_name_Hall 'P -2y'
loop_
_atom_site_label
_atom_site_type_symbol
_atom_site_fract_x
_atom_site_fract_y
_atom_site_fract_z
Cu1 Cu 0.000 0.000 0.000
Cu2 Cu 0.036 0.500 0.768
Mo1 Mo 0.432 0.000 0.531
Se1 Se 0.303 0.500 0.292
```

Properties
ΔE_f (raw): 0.312 eV per atom